Entry 1:
VASP calculation (PBE) on a relaxed structure of Hg3Te2Br2.

It has space group P-1 (No. 2), with a = 5.179 Å, b = 7.208 Å, c = 7.413 Å, α = 102.16°, β = 90.54° and γ = 93.12°. The asymmetric unit holds Hg at (0.000, 0.000, 0.000), Hg at (0.023, 0.455, 0.748), Te at (0.317, 0.722, 0.032) and Br at (0.227, 0.278, 0.431).

Its total energy is -1.7748 eV/atom. The formation energy from raw total energies comes out at -0.27 eV/atom. Its energy above the most stable polymorph in this dataset is 61.1 meV/atom.


Entry 2:
VASP calculation (PBE) on a relaxed structure of Hg3Te2Br2.

It has space group P2_1/c (No. 14), with a = 7.502 Å, b = 7.948 Å, c = 11.536 Å, α = 90.00°, β = 128.70° and γ = 90.00°. The asymmetric unit holds Hg at (0.000, 0.000, 0.000), Hg at (0.009, 0.057, 0.676), Te at (0.244, 0.645, 0.426) and Br at (0.297, 0.131, 0.594).

Its total energy is -1.8268 eV/atom. The formation energy from raw total energies comes out at -0.32 eV/atom. Its energy above the most stable polymorph in this dataset is 9.1 meV/atom.


Entry 3:
VASP calculation (PBE) on a relaxed structure of HgTeBr.

It has space group C2/m (No. 12), with a = 12.115 Å, b = 4.700 Å, c = 9.629 Å, α = 90.00°, β = 121.31° and γ = 90.00°. The asymmetric unit holds Hg at (0.122, 0.000, 0.044), Te at (0.206, 0.000, 0.532) and Br at (0.128, 0.500, 0.814).

Its total energy is -1.8631 eV/atom. The formation energy from raw total energies comes out at -0.16 eV/atom. Its energy above the most stable polymorph in this dataset is 0.0 meV/atom.


Entry 4:
VASP calculation (PBE) on a relaxed structure of HgTeBr.

It has space group I4mm (No. 107), with a = 3.533 Å, b = 3.533 Å, c = 14.175 Å, α = 90.00°, β = 90.00° and γ = 90.00°. The asymmetric unit holds Hg at (0.000, 0.000, 0.000), Te at (0.000, 0.000, 0.649) and Br at (0.000, 0.000, 0.379).

Its total energy is -1.5508 eV/atom. The formation energy from raw total energies comes out at 0.15 eV/atom. Its energy above the most stable polymorph in this dataset is 312.4 meV/atom.


Entry 5:
VASP calculation (PBE) on a relaxed structure of HgTeBr.

It has space group Imm2 (No. 44), with a = 3.448 Å, b = 8.514 Å, c = 8.588 Å, α = 90.00°, β = 90.00° and γ = 90.00°. The asymmetric unit holds Hg at (0.000, 0.000, 0.000), Te at (0.000, 0.000, 0.693) and Br at (0.000, 0.000, 0.290).

Its total energy is -1.7170 eV/atom. The formation energy from raw total energies comes out at -0.01 eV/atom. Its energy above the most stable polymorph in this dataset is 146.1 meV/atom.


Entry 6:
VASP calculation (PBE) on a relaxed structure of HgTe4Br.

It has space group F-43m (No. 216), with a = 9.036 Å, b = 9.036 Å, c = 9.036 Å, α = 90.00°, β = 90.00° and γ = 90.00°. The asymmetric unit holds Hg at (0.000, 0.000, 0.000), Te at (0.126, 0.126, 0.626) and Br at (0.250, 0.250, 0.250).

Its total energy is -2.1870 eV/atom. The formation energy from raw total energies comes out at 0.24 eV/atom.


Which value of formation energy from raw total energies does entry 1 give?
-0.27 eV/atom